# TiMnGa2 | Alexandria via LeMat-Bulk | PBE | optimized geometry
# - Fermi-level density of states: 14.01 states/eV per cell
# - E: -5.58 eV/atom
# - Magnetic moment: 0.00 μB per cell
# - Energy relative to the elements: 0.198 eV/atom
data_TiMnGa2
_cell_length_a 3.7681
_cell_length_b 3.7681
_cell_length_c 18.3558
_cell_angle_alpha 90.00
_cell_angle_beta 90.00
_cell_angle_gamma 90.00
_symmetry_space_group_name_H-M 'I -4 2 d'
_symmetry_Int_Tables_number 122
_symmetry_space_group_name_Hall 'I -4 2bw'
loop_
_atom_site_label
_atom_site_type_symbol
_atom_site_fract_x
_atom_site_fract_y
_atom_site_fract_z
Ti1 Ti 0.0000 0.0000 0.0000
Mn1 Mn 0.0000 0.0000 0.5000
Ga1 Ga 0.2344 0.2500 0.6250